# 1
VRu2OF after structural relaxation, computed with GGA+U.

Cell and atoms, written as POSCAR:
```
VRu2OF
1.0
3.9080 0.0000 0.0000
0.0000 4.3946 0.0000
0.0000 0.0000 3.9080
Ru O V F
2 1 1 1
direct
0.5000 0.0000 0.0000 Ru
0.0000 0.0000 0.5000 Ru
0.0000 0.5000 0.0000 O
0.5000 0.5000 0.5000 V
0.0000 0.0000 0.0000 F
```

Properties
D(E_F): 1.87 states/eV/atom
calculated density: 7.13 g cm⁻³
DFT total energy: -5.396 eV/atom
spin magnetization: 0.0 Bohr magnetons per cell

# 2
VRuOF2 after structural relaxation, computed with GGA+U.

Cell and atoms, written as POSCAR:
```
VRuOF2
1.0
-3.4750 1.0357 -1.8633
0.3424 -3.2460 -2.4428
-2.0062 -2.1344 2.5550
F Ru V O
2 1 1 1
direct
0.5000 0.0000 0.0000 F
0.0000 0.5000 0.0000 F
0.5000 0.5000 0.5000 Ru
0.0000 0.0000 0.0000 V
0.0000 0.0000 0.5000 O
```

Properties
D(E_F): 0.75 states/eV/atom
ΔE to the lowest computed polymorph: 0.0 meV/atom
calculated density: 5.30 g cm⁻³
DFT total energy: -6.098 eV/atom
spin magnetization: 1.0 Bohr magnetons per cell

# 3
RuWO2F after structural relaxation, computed with GGA+U.

Cell and atoms, written as POSCAR:
```
RuWO2F
1.0
-3.5513 -1.7482 0.1096
1.1974 -2.6037 -2.7325
1.3775 -2.6048 3.0857
O W Ru F
2 1 1 1
direct
0.5000 0.0000 0.0000 O
0.0000 0.5000 0.0000 O
0.0000 0.0000 0.0000 W
0.5000 0.5000 0.5000 Ru
0.0000 0.0000 0.5000 F
```

Properties
D(E_F): 0.87 states/eV/atom
calculated density: 8.34 g cm⁻³
DFT total energy: -6.089 eV/atom
spin magnetization: 2.8 Bohr magnetons per cell

# 4
RuWO2F after structural relaxation, computed with GGA+U.

Cell and atoms, written as POSCAR:
```
RuWO2F
1.0
3.9881 0.0000 0.0000
0.0000 3.9881 0.0000
0.0000 0.0000 4.1158
Ru O W F
1 2 1 1
direct
0.0000 0.0000 0.0000 Ru
0.0000 0.5000 0.0000 O
0.5000 0.0000 0.0000 O
0.5000 0.5000 0.5000 W
0.0000 0.0000 0.5000 F
```

Properties
D(E_F): 0.91 states/eV/atom
calculated density: 8.52 g cm⁻³
DFT total energy: -5.761 eV/atom
spin magnetization: 2.6 Bohr magnetons per cell

Question: Which formula does entry 4 have?
Answer: RuWO2F

Question: The highest spin magnetization belongs to which entry?
Answer: number 3